! Ho4I2Br3N | OQMD via LeMat-Bulk | GGA-PBE | relaxed; values from VASP
&SYSTEM
  ibrav = 0, nat = 10, ntyp = 4
/
ATOMIC_SPECIES
Br 79.90 Br.upf
Ho 164.93 Ho.upf
I 126.90 I.upf
N 14.01 N.upf
CELL_PARAMETERS angstrom
9.1503 -1.8952 0.0000
9.1503 1.8952 0.0000
-1.6648 0.0000 7.9161
ATOMIC_POSITIONS crystal
Br 0.1562 0.1562 0.3343
Br 0.8438 0.8438 0.6657
Ho 0.3708 0.3708 0.9341
Ho 0.6292 0.6292 0.0659
I 0.1708 0.1708 0.8064
Ho 0.9990 0.9990 0.1976
I 0.8292 0.8292 0.1936
N 0.5000 0.5000 0.0000
Br 0.5000 0.5000 0.5000
Ho 0.0010 0.0010 0.8024
! ρ: 7.06 Mg/m³
! uncorrected energy: -49.1 eV/f.u.
! symmetry: C2/m (12)

! Zr4GaNiC2 | OQMD via LeMat-Bulk | GGA-PBE | relaxed; values from VASP
&SYSTEM
  ibrav = 0, nat = 8, ntyp = 4
/
ATOMIC_SPECIES
Zr 91.22 Zr.upf
Ga 69.72 Ga.upf
C 12.01 C.upf
Ni 58.69 Ni.upf
CELL_PARAMETERS angstrom
-0.3037 1.8620 2.7378
2.2070 -2.4853 -0.0838
9.4538 8.5562 -4.7705
ATOMIC_POSITIONS crystal
Zr 0.0000 0.0000 0.3581
Zr 0.0000 0.0000 0.6419
Ga 0.0000 0.0000 0.0000
C 0.3333 0.6667 0.7410
Ni 0.6667 0.3333 0.5000
Zr 0.6667 0.3333 0.1673
Zr 0.6667 0.3333 0.8327
C 0.3333 0.6667 0.2590
! ρ: 6.59 Mg/m³
! uncorrected energy: -66.0 eV/f.u.
! symmetry: P-6m2 (187)

! PrAs | OQMD via LeMat-Bulk | GGA-PBE | relaxed; values from VASP
&SYSTEM
  ibrav = 0, nat = 8, ntyp = 2
/
ATOMIC_SPECIES
Pr 140.91 Pr.upf
As 74.92 As.upf
CELL_PARAMETERS angstrom
6.4921 0.0000 0.0000
0.0000 5.8021 0.0000
0.0000 0.0000 5.7752
ATOMIC_POSITIONS crystal
Pr 0.2500 0.0000 0.8550
As 0.2500 0.0000 0.3590
Pr 0.5000 0.5000 0.5000
As 0.7500 0.5000 0.0159
Pr 0.7500 0.0000 0.1450
As 0.2500 0.5000 0.9841
As 0.7500 0.0000 0.6410
Pr 0.0000 0.5000 0.5000
! ρ: 6.59 Mg/m³
! uncorrected energy: -11.2 eV/f.u.
! symmetry: Pmma (51)

! FeReSiOs | OQMD via LeMat-Bulk | GGA-PBE | relaxed; values from VASP
&SYSTEM
  ibrav = 0, nat = 4, ntyp = 4
/
ATOMIC_SPECIES
Os 190.23 Os.upf
Re 186.21 Re.upf
Fe 55.84 Fe.upf
Si 28.09 Si.upf
CELL_PARAMETERS angstrom
-0.6778 -2.5730 3.2796
-2.9104 0.9912 2.8953
-3.5848 -2.2200 0.2366
ATOMIC_POSITIONS crystal
Os 0.2500 0.2500 0.2500
Re 0.5000 0.5000 0.5000
Fe 0.7500 0.7500 0.7500
Si 0.0000 0.0000 0.0000
! ρ: 14.35 Mg/m³
! E above lowest polymorph: 0.00 eV per formula unit
! symmetry: F-43m (216)

! SmZrPd | OQMD via LeMat-Bulk | GGA-PBE | relaxed; values from VASP
&SYSTEM
  ibrav = 0, nat = 3, ntyp = 3
/
ATOMIC_SPECIES
Pd 106.42 Pd.upf
Zr 91.22 Zr.upf
Sm 150.36 Sm.upf
CELL_PARAMETERS angstrom
0.0000 3.3816 3.3816
3.3816 0.0000 3.3816
3.3816 3.3816 0.0000
ATOMIC_POSITIONS crystal
Pd 0.0000 0.0000 0.0000
Zr 0.7500 0.7500 0.7500
Sm 0.2500 0.2500 0.2500
! ρ: 7.47 Mg/m³
! formation energy from the elements: -0.136 eV/atom
! E above lowest polymorph: 0.00 eV per formula unit
! symmetry: F-43m (216)

! BeSiNiHg | OQMD via LeMat-Bulk | GGA-PBE | relaxed; values from VASP
&SYSTEM
  ibrav = 0, nat = 4, ntyp = 4
/
ATOMIC_SPECIES
Hg 200.59 Hg.upf
Be 9.01 Be.upf
Si 28.09 Si.upf
Ni 58.69 Ni.upf
CELL_PARAMETERS angstrom
1.7785 -3.8151 0.7882
-0.3386 -1.7576 3.8905
-2.4827 -3.4396 0.5870
ATOMIC_POSITIONS crystal
Hg 0.5000 0.5000 0.5000
Be 0.7500 0.7500 0.7500
Si 0.0000 0.0000 0.0000
Ni 0.2500 0.2500 0.2500
! ρ: 8.86 Mg/m³
! E above lowest polymorph: 0.00 eV per formula unit
! symmetry: F-43m (216)

! NaHoSO | OQMD via LeMat-Bulk | GGA-PBE | relaxed; values from VASP
&SYSTEM
  ibrav = 0, nat = 16, ntyp = 4
/
ATOMIC_SPECIES
Ho 164.93 Ho.upf
S 32.06 S.upf
Na 22.99 Na.upf
O 16.00 O.upf
CELL_PARAMETERS angstrom
-4.5879 4.9863 -0.7107
-4.8040 -5.2024 -5.4886
-2.7874 -1.9531 4.2911
ATOMIC_POSITIONS crystal
Ho 0.4612 0.6646 0.0731
S 0.4335 0.6367 0.5753
S 0.0665 0.6367 0.0753
Na 0.8848 0.9283 0.0060
O 0.0680 0.1311 0.0956
Na 0.3848 0.0717 0.0060
Na 0.1152 0.0717 0.5060
O 0.4320 0.1311 0.5956
S 0.5665 0.3634 0.0753
S 0.9335 0.3634 0.5753
O 0.9320 0.8689 0.5956
Ho 0.5388 0.3354 0.5731
O 0.5680 0.8689 0.0956
Na 0.6152 0.9283 0.5060
Ho 0.0388 0.6646 0.5731
Ho 0.9612 0.3354 0.0731
! ρ: 4.69 Mg/m³
! E above lowest polymorph: 1.03 eV per formula unit
! symmetry: Pca2_1 (29)

! InCuWSeS2 | OQMD via LeMat-Bulk | GGA-PBE | relaxed; values from VASP
&SYSTEM
  ibrav = 0, nat = 12, ntyp = 5
/
ATOMIC_SPECIES
In 114.82 In.upf
S 32.06 S.upf
Se 78.96 Se.upf
Cu 63.55 Cu.upf
W 183.84 W.upf
CELL_PARAMETERS angstrom
1.6882 -7.4553 0.0000
1.6882 7.4553 0.0000
0.0000 0.0000 9.5714
ATOMIC_POSITIONS crystal
In 0.7467 0.2534 0.7500
S 0.1173 0.8827 0.9572
In 0.2534 0.7467 0.2500
Se 0.5739 0.4261 0.2500
S 0.1173 0.8827 0.5428
Cu 0.0472 0.9528 0.7500
S 0.8827 0.1173 0.4572
Cu 0.9528 0.0472 0.2500
W 0.5000 0.5000 0.5000
W 0.5000 0.5000 0.0000
S 0.8827 0.1173 0.0428
Se 0.4261 0.5739 0.7500
! ρ: 6.96 Mg/m³
! uncorrected energy: -32.4 eV/f.u.
! symmetry: Cmcm (63)